Material: LaErPb2
Method: DFT, PBE-GGA
State: optimized geometry

Geometry as POSCAR:
```
LaErPb2
1.0
2.4113 1.3921 6.9453
-2.4113 1.3921 6.9453
0.0000 -2.7843 6.9453
La Er Pb
1 1 2
Cartesian
0.0000 0.0000 0.0000
0.0000 0.0000 17.1781
0.0000 0.0000 8.7459
0.0000 0.0000 11.9354
```

Computed properties:
Raw total energy   -18.355 eV per cell
Crystal system   trigonal
SG   R3m, No. 160
Size of the total moment   0.00 Bohr magnetons per cell
Calculated formation energy   -8.3 kcal/mol of atoms